DFT (PBE with a Hubbard U) results for a relaxed structure of CsFePH12O10.

Summary:
* E: -5.4321 eV per atom
* M_tot: 4.0 μB/f.u.

Cell and atoms, written as POSCAR:
```
CsFePH12O10
1.0
7.117 0.000 0.000
3.516 6.212 0.000
3.535 -1.979 5.887
Cs Fe P H O
1 1 1 12 10
Cartesian
0.000 0.000 0.000
7.069 4.217 1.411
3.559 2.164 2.923
5.041 1.411 5.120
2.334 2.922 0.605
4.939 -0.249 3.149
4.792 2.974 0.511
3.690 0.723 0.589
6.251 1.952 2.840
9.283 4.536 3.152
9.138 1.444 5.007
10.746 3.962 5.133
7.908 1.973 2.831
11.859 4.627 2.898
9.181 -0.140 2.912
5.470 5.175 2.470
3.578 2.165 1.360
4.825 1.424 3.459
8.386 4.971 3.027
5.497 3.561 0.112
7.375 6.010 0.229
7.076 2.276 2.359
10.663 3.635 3.448
9.392 1.422 3.414
8.700 3.476 0.230
```